Entry from the Open Quantum Materials Database: a relaxed structure of NbAsNO (GGA-PBE).

- excess energy over the best structure of this formula in the dataset (eV/atom) = 0.130

a = 3.1442 Å, b = 6.5027 Å, c = 6.5269 Å
α = 90.00°, β = 90.00°, γ = 90.00°
Atoms (fractional coordinates):
As1 0.5000 0.0050 0.2584
As2 0.5000 0.5050 0.7416
N1 0.0000 0.8122 0.3552
N2 0.0000 0.3122 0.6448
Nb1 0.0000 0.4983 0.3849
Nb2 0.0000 0.9983 0.6151
O1 0.5000 0.4384 0.2216
O2 0.5000 0.9384 0.7784